[1]
CsLa3Cr: optimized geometry, PBE.

Cell and atoms, written as POSCAR:
```
CsLa3Cr
1.0
5.8940 0.0000 0.0000
0.0000 5.8940 0.0000
0.0000 0.0000 5.8940
Cs La Cr
1 3 1
Cartesian
0.0000 0.0000 0.0000
0.0000 0.0000 2.9470
0.0000 2.9470 0.0000
2.9470 0.0000 0.0000
2.9470 2.9470 2.9470
```

Summary:
ΔE to the lowest computed polymorph = 0.816 eV/atom
ΔH_f (0 K) = 1344 meV/atom
space group = Pm-3m (221)
crystal system = cubic
energy = -18.5 eV for the cell shown
N(E_F) = 1.7899 states/eV/atom

=====

[2]
Na2Pd4Pb3: optimized geometry, PBE.

Cell and atoms, written as POSCAR:
```
Na2Pd4Pb3
1.0
3.1879 -8.4119 0.0000
3.1879 8.4119 0.0000
0.0000 0.0000 7.4944
Na Pd Pb
4 8 6
Cartesian
3.1879 6.8931 6.7984
3.1879 1.5187 3.0512
3.1879 -1.5187 4.4433
3.1879 -6.8931 0.6960
3.1879 5.6436 3.8676
1.5939 1.2650 5.6208
1.5939 -1.2650 1.8736
3.1879 2.7682 0.1204
3.1879 -2.7682 7.3740
4.7818 1.2650 5.6208
4.7818 -1.2650 1.8736
3.1879 -5.6436 3.6268
0.0000 0.0000 3.7472
1.5939 4.0764 5.6208
1.5939 -4.0764 1.8736
3.1879 0.0000 0.0000
4.7818 4.0764 5.6208
4.7818 -4.0764 1.8736
```

Summary:
ΔH_f (0 K) = -252 meV/atom
space group = Cmce (64)
crystal system = orthorhombic
energy = -73.6 eV for the cell shown
N(E_F) = 0.3726 states/eV/atom

=====

[3]
Pm3HoTh2As6: optimized geometry, PBE.

Cell and atoms, written as POSCAR:
```
Pm3HoTh2As6
1.0
9.2079 -2.1148 0.0000
9.2079 2.1148 0.0000
-1.9516 0.0000 8.2096
Pm Ho Th As
3 1 2 6
Cartesian
0.0000 0.0000 0.0000
4.8469 0.0000 5.4647
11.6173 0.0000 2.7450
-0.9758 0.0000 4.1048
5.8437 0.0000 1.3950
10.6205 0.0000 6.8146
1.8898 0.0000 4.7798
2.9186 0.0000 0.6789
8.7126 0.0000 2.1021
7.7516 0.0000 6.1075
13.5456 0.0000 7.5308
14.5744 0.0000 3.4298
```

Summary:
ΔH_f (0 K) = -1499 meV/atom
space group = C2/m (12)
crystal system = monoclinic
energy = -79.6 eV for the cell shown
N(E_F) = 0.3435 states/eV/atom

=====

[4]
LiPm2SmS5: optimized geometry, PBE.

Cell and atoms, written as POSCAR:
```
LiPm2SmS5
1.0
1.9960 -8.2813 0.0000
1.9960 8.2813 0.0000
0.0000 0.0000 11.9594
Li Pm Sm S
2 4 2 10
Cartesian
1.9960 8.0732 5.9797
1.9960 -8.0732 0.0000
1.9960 2.0228 3.7429
1.9960 1.7999 8.3829
1.9960 -1.7999 2.4032
1.9960 -2.0228 9.7226
1.9960 3.2579 0.2009
1.9960 -3.2579 6.1806
1.9960 8.2580 3.6103
1.9960 6.0313 0.1914
1.9960 5.1047 4.2448
1.9960 4.7852 8.1329
1.9960 0.7336 1.0766
1.9960 -0.7336 7.0563
1.9960 -4.7852 2.1533
1.9960 -5.1047 10.2245
1.9960 -6.0313 6.1710
1.9960 -8.2580 9.5900
```

Summary:
E_form (uncorrected) = -43.6 kcal/mol of atoms
space group = Cmc2_1 (36)
crystal system = orthorhombic
energy = -107.6 eV for the cell shown

=====

The calculation returns the following volume values, one per record and in order: 40.95, 22.33, 26.64, 21.96 Å³ per atom.